Compound: Ni2TeOs
Source: Alexandria
Functional: PBE
Structure: relaxed

CIF file:
```
data_Ni2TeOs
_chemical_formula_sum 'Ni2 Te1 Os1'
_space_group_name_H-M_alt 'P 1'
_space_group_IT_number 1
_cell_length_a 4.144
_cell_length_b 3.154
_cell_length_c 4.429
_cell_angle_alpha 90.00
_cell_angle_beta 90.00
_cell_angle_gamma 90.00
loop_
_space_group_symop_operation_xyz
'x,y,z'
loop_
_atom_site_label
_atom_site_fract_x
_atom_site_fract_y
_atom_site_fract_z
Ni1 0.000 0.125 0.963
Te1 0.500 0.625 0.810
Os1 0.000 0.625 0.435
Ni2 0.500 0.125 0.292
```

Values from the calculation:
The value obtained for the density of states at the Fermi level is 1.03 states/eV per atom. The value obtained for the uncorrected formation energy is 384 meV per atom. Its crystal system is orthorhombic. For the theoretical density, the calculation gives 12.5 g/cm³. As for the symmetry: Pmm2.

Compound: Rb2Tl9Pb3
Source: Alexandria
Functional: PBE
Structure: relaxed

CIF file:
```
data_Rb2Tl9Pb3
_chemical_formula_sum 'Rb4 Tl18 Pb6'
_space_group_name_H-M_alt 'P 1'
_space_group_IT_number 1
_cell_length_a 9.692
_cell_length_b 9.692
_cell_length_c 11.972
_cell_angle_alpha 90.00
_cell_angle_beta 90.00
_cell_angle_gamma 119.67
loop_
_space_group_symop_operation_xyz
'x,y,z'
loop_
_atom_site_label
_atom_site_fract_x
_atom_site_fract_y
_atom_site_fract_z
Pb1 0.674 0.326 0.000
Tl1 0.007 0.336 0.085
Tl2 0.993 0.664 0.585
Rb1 0.329 0.004 0.750
Tl3 0.336 0.007 0.085
Pb2 0.326 0.674 0.000
Tl4 0.657 0.460 0.750
Tl5 0.460 0.657 0.750
Pb3 0.000 0.000 0.500
Tl6 0.336 0.007 0.415
Tl7 0.862 0.862 0.750
Tl8 0.007 0.336 0.415
Tl9 0.663 0.663 0.067
Tl10 0.337 0.337 0.567
Rb2 0.996 0.671 0.250
Tl11 0.664 0.993 0.915
Tl12 0.664 0.993 0.585
Rb3 0.004 0.329 0.750
Tl13 0.343 0.540 0.250
Tl14 0.138 0.138 0.250
Tl15 0.663 0.663 0.433
Pb4 0.326 0.674 0.500
Tl16 0.337 0.337 0.933
Rb4 0.671 0.996 0.250
Tl17 0.993 0.664 0.915
Tl18 0.540 0.343 0.250
Pb5 0.674 0.326 0.500
Pb6 0.000 0.000 0.000
```

Values from the calculation:
The value obtained for the density of states at the Fermi level is 0.52 states/eV per atom. As for the energy of formation from the pure elements: -0.064 eV per atom. Its crystal system is orthorhombic. For the theoretical density, the calculation gives 8.9 g/cm³. As for the symmetry: Cmcm.

Compound: SmBe3Pd10
Source: Alexandria
Functional: PBE
Structure: relaxed

CIF file:
```
data_SmBe3Pd10
_chemical_formula_sum 'Sm2 Be6 Pd20'
_space_group_name_H-M_alt 'P 1'
_space_group_IT_number 1
_cell_length_a 8.422
_cell_length_b 8.422
_cell_length_c 8.422
_cell_angle_alpha 60.00
_cell_angle_beta 60.00
_cell_angle_gamma 60.00
loop_
_space_group_symop_operation_xyz
'x,y,z'
loop_
_atom_site_label
_atom_site_fract_x
_atom_site_fract_y
_atom_site_fract_z
Sm1 0.250 0.250 0.250
Be1 0.729 0.729 0.271
Pd1 0.337 0.000 0.000
Be2 0.729 0.271 0.729
Pd2 0.384 0.384 0.384
Pd3 0.000 0.000 0.337
Pd4 0.000 0.337 0.000
Pd5 0.384 0.384 0.849
Pd6 0.000 0.337 0.663
Be3 0.729 0.271 0.271
Be4 0.271 0.729 0.271
Pd7 0.337 0.000 0.663
Be5 0.271 0.729 0.729
Pd8 0.616 0.151 0.616
Pd9 0.000 0.000 0.663
Pd10 0.663 0.000 0.000
Pd11 0.384 0.849 0.384
Pd12 0.151 0.616 0.616
Pd13 0.000 0.663 0.000
Pd14 0.663 0.337 0.000
Pd15 0.000 0.663 0.337
Pd16 0.849 0.384 0.384
Pd17 0.616 0.616 0.151
Pd18 0.663 0.000 0.337
Be6 0.271 0.271 0.729
Pd19 0.616 0.616 0.616
Sm2 0.750 0.750 0.750
Pd20 0.337 0.663 0.000
```

Values from the calculation:
The value obtained for the density of states at the Fermi level is 0.51 states/eV per atom. As for the energy of formation from the pure elements: -0.494 eV per atom. Its crystal system is cubic. For the theoretical density, the calculation gives 9.8 g/cm³. As for the symmetry: Fm-3m.

Compound: Hf6Sb2P
Source: Alexandria
Functional: PBE
Structure: relaxed

CIF file:
```
data_Hf6Sb2P
_chemical_formula_sum 'Hf12 Sb4 P2'
_space_group_name_H-M_alt 'P 1'
_space_group_IT_number 1
_cell_length_a 5.834
_cell_length_b 7.361
_cell_length_c 9.045
_cell_angle_alpha 90.00
_cell_angle_beta 91.63
_cell_angle_gamma 90.00
loop_
_space_group_symop_operation_xyz
'x,y,z'
loop_
_atom_site_label
_atom_site_fract_x
_atom_site_fract_y
_atom_site_fract_z
Hf1 0.643 0.179 0.953
Sb1 0.074 0.614 0.247
Hf2 0.397 0.512 0.720
Hf3 0.137 0.314 0.046
Sb2 0.926 0.386 0.753
Hf4 0.863 0.686 0.954
Hf5 0.637 0.186 0.546
Hf6 0.363 0.814 0.454
Sb3 0.426 0.114 0.253
P1 0.000 0.000 0.500
Hf7 0.857 0.679 0.547
Sb4 0.574 0.886 0.747
Hf8 0.603 0.488 0.280
Hf9 0.897 0.988 0.220
Hf10 0.103 0.012 0.780
P2 0.500 0.500 0.000
Hf11 0.143 0.321 0.453
Hf12 0.357 0.821 0.047
```

Values from the calculation:
The value obtained for the density of states at the Fermi level is 0.72 states/eV per atom. The value obtained for the uncorrected formation energy is -519 meV per atom. Its crystal system is monoclinic. For the theoretical density, the calculation gives 11.5 g/cm³. As for the symmetry: P2_1/c.

Compound: MgMnPb2
Source: Alexandria
Functional: PBE
Structure: relaxed

CIF file:
```
data_MgMnPb2
_chemical_formula_sum 'Mg1 Mn1 Pb2'
_space_group_name_H-M_alt 'P 1'
_space_group_IT_number 1
_cell_length_a 3.369
_cell_length_b 4.187
_cell_length_c 6.890
_cell_angle_alpha 90.00
_cell_angle_beta 90.00
_cell_angle_gamma 90.00
loop_
_space_group_symop_operation_xyz
'x,y,z'
loop_
_atom_site_label
_atom_site_fract_x
_atom_site_fract_y
_atom_site_fract_z
Pb1 0.500 0.500 0.280
Mn1 0.500 0.500 0.738
Pb2 0.000 0.000 0.958
Mg1 0.000 0.000 0.525
```

Values from the calculation:
The value obtained for the density of states at the Fermi level is 0.69 states/eV per atom. As for the energy of formation from the pure elements: 0.256 eV per atom. Its crystal system is orthorhombic. For the theoretical density, the calculation gives 8.4 g/cm³. As for the symmetry: Pmm2.

Compound: La2TbNd2Sm2
Source: Alexandria
Functional: PBE
Structure: relaxed

CIF file:
```
data_La2TbNd2Sm2
_chemical_formula_sum 'La2 Tb1 Nd2 Sm2'
_space_group_name_H-M_alt 'P 1'
_space_group_IT_number 1
_cell_length_a 5.197
_cell_length_b 6.356
_cell_length_c 8.214
_cell_angle_alpha 97.48
_cell_angle_beta 90.00
_cell_angle_gamma 114.13
loop_
_space_group_symop_operation_xyz
'x,y,z'
loop_
_atom_site_label
_atom_site_fract_x
_atom_site_fract_y
_atom_site_fract_z
La1 0.142 0.285 0.425
Nd1 0.285 0.570 0.860
La2 0.858 0.715 0.575
Sm1 0.430 0.860 0.283
Tb1 0.000 0.000 0.000
Sm2 0.570 0.140 0.717
Nd2 0.715 0.430 0.140
```

Values from the calculation:
The value obtained for the density of states at the Fermi level is 1.74 states/eV per atom. As for the energy of formation from the pure elements: 0.021 eV per atom. Its crystal system is monoclinic. For the theoretical density, the calculation gives 7.0 g/cm³. As for the symmetry: C2/m.

Compound: Cs2CeAsSe4
Source: Alexandria
Functional: PBE
Structure: relaxed

CIF file:
```
data_Cs2CeAsSe4
_chemical_formula_sum 'Cs4 Ce2 As2 Se8'
_space_group_name_H-M_alt 'P 1'
_space_group_IT_number 1
_cell_length_a 9.065
_cell_length_b 9.065
_cell_length_c 9.028
_cell_angle_alpha 119.85
_cell_angle_beta 119.85
_cell_angle_gamma 89.44
loop_
_space_group_symop_operation_xyz
'x,y,z'
loop_
_atom_site_label
_atom_site_fract_x
_atom_site_fract_y
_atom_site_fract_z
Ce1 0.000 0.500 0.000
As1 0.500 0.500 0.500
Cs1 0.500 0.000 0.000
Se1 0.183 0.739 0.961
Cs2 0.500 0.500 0.000
Cs3 0.500 0.000 0.500
Se2 0.769 0.732 0.947
As2 0.000 0.000 0.000
Cs4 0.000 0.000 0.500
Se3 0.231 0.268 0.053
Ce2 0.000 0.500 0.500
Se4 0.768 0.731 0.553
Se5 0.232 0.269 0.447
Se6 0.239 0.683 0.461
Se7 0.817 0.261 0.039
Se8 0.761 0.317 0.539
```

Values from the calculation:
The value obtained for the density of states at the Fermi level is 0.59 states/eV per atom. The value obtained for the uncorrected formation energy is -987 meV per atom. Its crystal system is orthorhombic. For the theoretical density, the calculation gives 5.0 g/cm³. As for the symmetry: Imma.

Compound: SnBPd4
Source: Alexandria
Functional: PBE
Structure: relaxed

CIF file:
```
data_SnBPd4
_chemical_formula_sum 'Sn2 B2 Pd8'
_space_group_name_H-M_alt 'P 1'
_space_group_IT_number 1
_cell_length_a 4.407
_cell_length_b 5.724
_cell_length_c 7.769
_cell_angle_alpha 90.00
_cell_angle_beta 106.48
_cell_angle_gamma 90.00
loop_
_space_group_symop_operation_xyz
'x,y,z'
loop_
_atom_site_label
_atom_site_fract_x
_atom_site_fract_y
_atom_site_fract_z
Pd1 0.711 0.562 0.421
Pd2 0.526 0.446 0.053
Pd3 0.091 0.789 0.183
Pd4 0.674 0.061 0.349
B1 0.402 0.269 0.804
Sn1 0.126 0.306 0.253
Pd5 0.289 0.062 0.579
Pd6 0.326 0.561 0.651
Pd7 0.909 0.289 0.817
B2 0.598 0.769 0.196
Pd8 0.474 0.946 0.947
Sn2 0.874 0.806 0.747
```

Values from the calculation:
The value obtained for the density of states at the Fermi level is 0.29 states/eV per atom. As for the energy of formation from the pure elements: -0.334 eV per atom. Its crystal system is orthorhombic. For the theoretical density, the calculation gives 9.8 g/cm³. As for the symmetry: Cmc2_1.

Compound: PrBeGa2
Source: Alexandria
Functional: PBE
Structure: relaxed

CIF file:
```
data_PrBeGa2
_chemical_formula_sum 'Pr1 Be1 Ga2'
_space_group_name_H-M_alt 'P 1'
_space_group_IT_number 1
_cell_length_a 4.065
_cell_length_b 4.065
_cell_length_c 5.941
_cell_angle_alpha 69.99
_cell_angle_beta 69.99
_cell_angle_gamma 60.00
loop_
_space_group_symop_operation_xyz
'x,y,z'
loop_
_atom_site_label
_atom_site_fract_x
_atom_site_fract_y
_atom_site_fract_z
Pr1 0.500 0.500 0.500
Ga1 0.289 0.289 0.133
Be1 0.000 0.000 0.000
Ga2 0.711 0.711 0.867
```

Values from the calculation:
The value obtained for the density of states at the Fermi level is 0.40 states/eV per atom. As for the energy of formation from the pure elements: -0.376 eV per atom. Its crystal system is trigonal. For the theoretical density, the calculation gives 6.2 g/cm³. As for the symmetry: R-3m.

Compound: LaSmMg6
Source: Alexandria
Functional: PBE
Structure: relaxed

CIF file:
```
data_LaSmMg6
_chemical_formula_sum 'La1 Sm1 Mg6'
_space_group_name_H-M_alt 'P 1'
_space_group_IT_number 1
_cell_length_a 5.238
_cell_length_b 6.843
_cell_length_c 6.843
_cell_angle_alpha 119.92
_cell_angle_beta 90.00
_cell_angle_gamma 90.00
loop_
_space_group_symop_operation_xyz
'x,y,z'
loop_
_atom_site_label
_atom_site_fract_x
_atom_site_fract_y
_atom_site_fract_z
Mg1 0.000 0.076 0.412
Sm1 0.500 0.416 0.584
Mg2 0.000 0.588 0.924
La1 0.000 0.084 0.916
Mg3 0.500 0.910 0.090
Mg4 0.500 0.430 0.091
Mg5 0.000 0.586 0.414
Mg6 0.500 0.909 0.570
```

Values from the calculation:
The value obtained for the density of states at the Fermi level is 1.06 states/eV per atom. As for the energy of formation from the pure elements: -0.093 eV per atom. Its crystal system is orthorhombic. For the theoretical density, the calculation gives 3.4 g/cm³. As for the symmetry: Amm2.

Compound: BaTc3Ag
Source: Alexandria
Functional: PBE
Structure: relaxed

CIF file:
```
data_BaTc3Ag
_chemical_formula_sum 'Ba1 Tc3 Ag1'
_space_group_name_H-M_alt 'P 1'
_space_group_IT_number 1
_cell_length_a 4.998
_cell_length_b 4.998
_cell_length_c 4.998
_cell_angle_alpha 90.00
_cell_angle_beta 90.00
_cell_angle_gamma 90.00
loop_
_space_group_symop_operation_xyz
'x,y,z'
loop_
_atom_site_label
_atom_site_fract_x
_atom_site_fract_y
_atom_site_fract_z
Tc1 0.000 0.500 0.000
Tc2 0.000 0.000 0.500
Ba1 0.000 0.000 0.000
Ag1 0.500 0.500 0.500
Tc3 0.500 0.000 0.000
```

Values from the calculation:
The value obtained for the density of states at the Fermi level is 1.06 states/eV per atom. As for the energy of formation from the pure elements: 2.912 eV per atom. Its crystal system is cubic. For the theoretical density, the calculation gives 7.2 g/cm³. For the energy above the most stable polymorph in this dataset, the calculation gives 980 meV per atom. As for the symmetry: Pm-3m.

Compound: Bi4I3Br
Source: Alexandria
Functional: PBE
Structure: relaxed

CIF file:
```
data_Bi4I3Br
_chemical_formula_sum 'Bi8 I6 Br2'
_space_group_name_H-M_alt 'P 1'
_space_group_IT_number 1
_cell_length_a 8.120
_cell_length_b 8.120
_cell_length_c 21.198
_cell_angle_alpha 90.00
_cell_angle_beta 90.00
_cell_angle_gamma 148.65
loop_
_space_group_symop_operation_xyz
'x,y,z'
loop_
_atom_site_label
_atom_site_fract_x
_atom_site_fract_y
_atom_site_fract_z
I1 0.101 0.899 0.327
Bi1 0.733 0.267 0.370
Bi2 0.267 0.733 0.870
Bi3 0.301 0.699 0.013
Br1 0.345 0.655 0.183
I2 0.369 0.631 0.401
Bi4 0.035 0.965 0.650
Br2 0.655 0.345 0.683
I3 0.603 0.397 0.125
Bi5 0.064 0.936 0.506
Bi6 0.936 0.064 0.006
Bi7 0.965 0.035 0.150
I4 0.631 0.369 0.901
I5 0.899 0.101 0.827
Bi8 0.699 0.301 0.513
I6 0.397 0.603 0.625
```

Values from the calculation:
The value obtained for the uncorrected formation energy is -331 meV per atom. Its crystal system is orthorhombic. For the theoretical density, the calculation gives 5.9 g/cm³. As for the symmetry: Cmc2_1.

Compound: TbHoV
Source: Alexandria
Functional: PBE
Structure: relaxed

CIF file:
```
data_TbHoV
_chemical_formula_sum 'Tb2 Ho2 V2'
_space_group_name_H-M_alt 'P 1'
_space_group_IT_number 1
_cell_length_a 5.288
_cell_length_b 6.100
_cell_length_c 6.566
_cell_angle_alpha 122.65
_cell_angle_beta 90.00
_cell_angle_gamma 115.69
loop_
_space_group_symop_operation_xyz
'x,y,z'
loop_
_atom_site_label
_atom_site_fract_x
_atom_site_fract_y
_atom_site_fract_z
Ho1 0.959 0.919 0.834
V1 0.659 0.319 0.784
Tb1 0.599 0.198 0.223
V2 0.260 0.520 0.885
Tb2 0.960 0.919 0.335
Ho2 0.320 0.639 0.446
```

Values from the calculation:
The value obtained for the density of states at the Fermi level is 1.32 states/eV per atom. As for the energy of formation from the pure elements: 0.388 eV per atom. Its crystal system is monoclinic. For the theoretical density, the calculation gives 8.1 g/cm³. As for the symmetry: Cm.

Compound: CaPr2Nd
Source: Alexandria
Functional: PBE
Structure: relaxed

CIF file:
```
data_CaPr2Nd
_chemical_formula_sum 'Ca1 Pr2 Nd1'
_space_group_name_H-M_alt 'P 1'
_space_group_IT_number 1
_cell_length_a 3.725
_cell_length_b 3.725
_cell_length_c 12.538
_cell_angle_alpha 81.46
_cell_angle_beta 81.46
_cell_angle_gamma 60.00
loop_
_space_group_symop_operation_xyz
'x,y,z'
loop_
_atom_site_label
_atom_site_fract_x
_atom_site_fract_y
_atom_site_fract_z
Ca1 0.500 0.500 0.500
Pr1 0.747 0.747 0.760
Pr2 0.253 0.253 0.240
Nd1 0.000 0.000 0.000
```

Values from the calculation:
The value obtained for the density of states at the Fermi level is 1.57 states/eV per atom. As for the energy of formation from the pure elements: 0.030 eV per atom. Its crystal system is trigonal. For the theoretical density, the calculation gives 5.2 g/cm³. For the energy above the most stable polymorph in this dataset, the calculation gives 0 meV per atom. As for the symmetry: R-3m.